Here is a geometry-optimized BaTbB12 structure from Alexandria via LeMat-Bulk. Energies are from PBE.

The structure in CIF format:
```
data_BaTbB12
_cell_length_a 4.183
_cell_length_b 4.183
_cell_length_c 8.371
_cell_angle_alpha 90.00
_cell_angle_beta 90.00
_cell_angle_gamma 90.00
_space_group_name_H-M_alt 'P 4/m m m'
_space_group_IT_number 123
_space_group_name_Hall '-P 4 2'
loop_
_atom_site_label
_atom_site_type_symbol
_atom_site_fract_x
_atom_site_fract_y
_atom_site_fract_z
Ba1 Ba 0.000 0.000 0.000
Tb1 Tb 0.000 0.000 0.500
B1 B 0.201 0.500 0.257
B2 B 0.500 0.500 0.104
B3 B 0.500 0.500 0.402
```

Properties
Energy of formation from the pure elements = -0.42 eV per atom
DOS at the Fermi energy = 1.2 states/eV/cell